1.
Computed, not measured: a geometry-optimized AcGdPu structure at the PBE level of DFT.

a = 8.090 Å, b = 8.090 Å, c = 8.090 Å
α = 153.59°, β = 153.59°, γ = 37.70°
Atoms (fractional coordinates):
Ac 0.000 0.000 0.000
Gd 0.680 0.680 0.000
Pu 0.330 0.330 0.000

Values from the calculation:
SG = I4mm, No. 107
total moment = 13.75 Bohr magnetons per cell
density = 9.97 g cm⁻³
electronic total energy = -10.66 eV/atom
crystal system = tetragonal

=====

2.
Computed, not measured: a geometry-optimized AcGdPu structure at the PBE level of DFT.

a = 5.907 Å, b = 5.907 Å, c = 3.476 Å
α = 90.00°, β = 90.00°, γ = 120.00°
Atoms (fractional coordinates):
Ac 0.000 0.000 0.000
Gd 0.333 0.667 0.995
Pu 0.667 0.333 0.497

Values from the calculation:
SG = P3m1, No. 156
total moment = 13.53 Bohr magnetons per cell
density = 9.93 g cm⁻³
electronic total energy = -10.52 eV/atom
crystal system = trigonal

=====

3.
Computed, not measured: a geometry-optimized AcGdPuTl structure at the PBE level of DFT.

a = 5.605 Å, b = 5.605 Å, c = 5.605 Å
α = 60.00°, β = 60.00°, γ = 60.00°
Atoms (fractional coordinates):
Ac 0.000 0.000 0.000
Gd 0.250 0.250 0.250
Pu 0.750 0.750 0.750
Tl 0.500 0.500 0.500

Values from the calculation:
SG = F-43m, No. 216
total moment = 14.98 Bohr magnetons per cell
density = 11.10 g cm⁻³
electronic total energy = -8.60 eV/atom
crystal system = cubic

=====

4.
Computed, not measured: a geometry-optimized AcGdYPu structure at the PBE level of DFT.

a = 5.788 Å, b = 5.788 Å, c = 5.788 Å
α = 60.00°, β = 60.00°, γ = 60.00°
Atoms (fractional coordinates):
Ac 0.000 0.000 0.000
Gd 0.750 0.750 0.750
Y 0.500 0.500 0.500
Pu 0.250 0.250 0.250

Values from the calculation:
SG = F-43m, No. 216
total moment = 0.37 Bohr magnetons per cell
density = 8.69 g cm⁻³
electronic total energy = -9.48 eV/atom
crystal system = cubic

=====

5.
Computed, not measured: a geometry-optimized AcGdRh structure at the PBE level of DFT.

a = 5.046 Å, b = 5.046 Å, c = 5.046 Å
α = 60.00°, β = 60.00°, γ = 60.00°
Atoms (fractional coordinates):
Ac 0.000 0.000 0.000
Gd 0.500 0.500 0.500
Rh 0.250 0.250 0.250

Values from the calculation:
SG = F-43m, No. 216
total moment = 7.14 Bohr magnetons per cell
density = 8.90 g cm⁻³
electronic total energy = -8.95 eV/atom
crystal system = cubic

=====

6.
Computed, not measured: a geometry-optimized Ac2GdRh structure at the PBE level of DFT.

a = 10.063 Å, b = 10.063 Å, c = 10.063 Å
α = 23.66°, β = 23.66°, γ = 23.66°
Atoms (fractional coordinates):
Ac 0.226 0.226 0.226
Ac 0.774 0.774 0.774
Gd 0.000 0.000 0.000
Rh 0.500 0.500 0.500

Values from the calculation:
SG = R-3m, No. 166
total moment = 8.42 Bohr magnetons per cell
density = 8.22 g cm⁻³
electronic total energy = -7.70 eV/atom
crystal system = trigonal

=====

7.
Computed, not measured: a geometry-optimized Ac2GdRh structure at the PBE level of DFT.

a = 3.800 Å, b = 3.800 Å, c = 9.041 Å
α = 90.00°, β = 90.00°, γ = 90.00°
Atoms (fractional coordinates):
Ac 0.000 0.000 0.194
Ac 0.000 0.000 0.806
Gd 0.500 0.500 0.500
Rh 0.500 0.500 0.000

Values from the calculation:
SG = P4/mmm, No. 123
total moment = 8.47 Bohr magnetons per cell
density = 9.08 g cm⁻³
electronic total energy = -7.64 eV/atom
crystal system = tetragonal

=====

8.
Computed, not measured: a geometry-optimized AcGdRh structure at the PBE level of DFT.

a = 7.084 Å, b = 7.084 Å, c = 7.084 Å
α = 150.21°, β = 150.21°, γ = 42.63°
Atoms (fractional coordinates):
Ac 0.000 0.000 0.000
Gd 0.743 0.743 0.000
Rh 0.354 0.354 0.000

Values from the calculation:
SG = I4mm, No. 107
total moment = 7.34 Bohr magnetons per cell
density = 9.24 g cm⁻³
electronic total energy = -8.93 eV/atom
crystal system = tetragonal

=====

9.
Computed, not measured: a geometry-optimized AcGdRh structure at the PBE level of DFT.

a = 4.200 Å, b = 4.200 Å, c = 6.517 Å
α = 90.00°, β = 90.00°, γ = 120.00°
Atoms (fractional coordinates):
Ac 0.000 0.000 0.000
Gd 0.667 0.333 0.474
Rh 0.333 0.667 0.259

Values from the calculation:
SG = P3m1, No. 156
total moment = 7.35 Bohr magnetons per cell
density = 8.13 g cm⁻³
electronic total energy = -9.02 eV/atom
crystal system = trigonal

=====

10.
Computed, not measured: a geometry-optimized AcGdRuRh structure at the PBE level of DFT.

a = 5.051 Å, b = 5.051 Å, c = 5.051 Å
α = 60.00°, β = 60.00°, γ = 60.00°
Atoms (fractional coordinates):
Ac 0.000 0.000 0.000
Gd 0.500 0.500 0.500
Ru 0.750 0.750 0.750
Rh 0.250 0.250 0.250

Values from the calculation:
SG = F-43m, No. 216
total moment = 6.96 Bohr magnetons per cell
density = 10.72 g cm⁻³
electronic total energy = -9.04 eV/atom
crystal system = cubic

=====

11.
Computed, not measured: a geometry-optimized AcGdZnRh structure at the PBE level of DFT.

a = 5.196 Å, b = 5.196 Å, c = 5.196 Å
α = 60.00°, β = 60.00°, γ = 60.00°
Atoms (fractional coordinates):
Ac 0.000 0.000 0.000
Gd 0.500 0.500 0.500
Zn 0.250 0.250 0.250
Rh 0.750 0.750 0.750

Values from the calculation:
SG = F-43m, No. 216
total moment = 7.03 Bohr magnetons per cell
density = 9.25 g cm⁻³
electronic total energy = -7.13 eV/atom
crystal system = cubic

=====

12.
Computed, not measured: a geometry-optimized AcGd2Ru structure at the PBE level of DFT.

a = 3.542 Å, b = 3.542 Å, c = 9.374 Å
α = 90.00°, β = 90.00°, γ = 90.00°
Atoms (fractional coordinates):
Ac 0.000 0.000 0.000
Gd 0.500 0.500 0.326
Gd 0.500 0.500 0.674
Ru 0.000 0.000 0.500

Values from the calculation:
SG = P4/mmm, No. 123
total moment = 14.07 Bohr magnetons per cell
density = 9.07 g cm⁻³
electronic total energy = -10.53 eV/atom
crystal system = tetragonal